NaCo4P3: optimized geometry, PBE.

Calculated values
- total moment (μB/f.u.) = 0.0

The structure in POSCAR format:
```
NaCo4P3
1.0
7.2254 6.2776 2.9920
8.3216 5.5811 -0.4111
5.8250 8.1605 0.2061
Co Na P
4 1 3
Direct
0.0784 0.0784 0.0784
0.3091 0.3091 0.3091
0.6909 0.6909 0.6909
0.9216 0.9216 0.9216
0.5000 0.5000 0.5000
0.0000 0.0000 0.0000
0.2365 0.2365 0.2365
0.7635 0.7635 0.7635
```

=====

LaAsPdO: optimized geometry, PBE.

Calculated values
- total moment (μB/f.u.) = 0.0

The structure in POSCAR format:
```
LaAsPdO
1.0
4.6762 0.0000 0.0000
0.0000 4.2767 0.0000
0.0000 0.0000 7.3441
As La O Pd
2 2 2 2
Direct
0.0000 0.7631 0.2734
0.0000 0.2369 0.7734
0.5000 0.2413 0.1039
0.5000 0.7587 0.6039
0.5000 0.2614 0.4376
0.5000 0.7386 0.9376
0.0000 0.2645 0.4391
0.0000 0.7355 0.9391
```

=====

ZnO: optimized geometry, PBE.

The structure in POSCAR format:
```
ZnO
1.0
3.2441 0.0000 0.0000
-1.6221 2.8095 0.0000
0.0000 0.0000 21.1445
O Zn
8 8
Direct
0.0000 0.0000 0.0939
0.3333 0.6667 0.2191
0.6667 0.3333 0.3439
0.3333 0.6667 0.4689
0.0000 0.0000 0.5939
0.6667 0.3333 0.7191
0.3333 0.6667 0.8439
0.6667 0.3333 0.9689
0.0000 0.0000 0.0000
0.3333 0.6667 0.1252
0.6667 0.3333 0.2502
0.3333 0.6667 0.3751
0.0000 0.0000 0.5000
0.6667 0.3333 0.6252
0.3333 0.6667 0.7502
0.6667 0.3333 0.8751
```

=====

ZrNi2Ge: optimized geometry, PBE.

Calculated values
- total moment (μB/f.u.) = 0.0

The structure in POSCAR format:
```
ZrNi2Ge
1.0
-1.6097 -1.6049 3.7026
-3.8205 -2.0687 -0.0086
-0.1449 -4.2972 0.6234
Ge Ni Zr
1 2 1
Direct
0.5000 0.5000 0.5000
0.0000 0.0000 0.0000
0.7500 0.7500 0.7500
0.2500 0.2500 0.2500
```

=====

FeH30C40Se2N12: optimized geometry, PBE.

Calculated values
- total moment (μB/f.u.) = 0.0

The structure in POSCAR format:
```
FeH30C40Se2N12
1.0
-3.5025 6.0982 5.2797
-6.9263 -5.2370 2.3984
2.9042 -3.7364 10.2709
C Fe H N Se
40 1 30 12 2
Direct
0.4784 0.2464 0.0053
0.5983 0.3280 0.0238
0.4131 0.1235 0.1003
0.5821 0.7079 0.1118
0.6520 0.2891 0.1344
0.9597 0.8521 0.1349
0.0898 0.7968 0.1842
0.4637 0.0842 0.2122
0.5822 0.1685 0.2279
0.0655 0.2681 0.2777
0.1028 0.8295 0.2958
0.8713 0.9629 0.2978
0.7631 0.0524 0.3679
0.3661 0.3760 0.3748
0.7269 0.5792 0.3840
0.2408 0.4722 0.4040
0.6015 0.6755 0.4122
0.5822 0.2004 0.4452
0.4472 0.3008 0.4668
0.8063 0.5043 0.4761
0.1937 0.4957 0.5239
0.5528 0.6992 0.5332
0.4178 0.7996 0.5548
0.3985 0.3245 0.5878
0.7592 0.5278 0.5960
0.2731 0.4208 0.6160
0.6339 0.6240 0.6252
0.2369 0.9476 0.6321
0.1287 0.0371 0.7022
0.8972 0.1705 0.7042
0.9345 0.7319 0.7223
0.4178 0.8315 0.7721
0.5363 0.9158 0.7878
0.9102 0.2032 0.8158
0.0403 0.1479 0.8651
0.3480 0.7109 0.8656
0.4179 0.2921 0.8882
0.5869 0.8765 0.8997
0.4017 0.6720 0.9762
0.5216 0.7536 0.9947
0.0000 0.0000 0.5000
0.9423 0.8271 0.0486
0.3495 0.5751 0.0488
0.3204 0.0584 0.0864
0.6887 0.6376 0.0964
0.1788 0.7298 0.1366
0.6134 0.8088 0.1399
0.7476 0.3511 0.1478
0.4971 0.6397 0.1876
0.3985 0.3596 0.2805
0.4108 0.9907 0.2871
0.7645 0.5617 0.2898
0.1775 0.5260 0.3315
0.2020 0.7915 0.3395
0.5391 0.7340 0.3410
0.9043 0.4284 0.4538
0.0957 0.5716 0.5462
0.4609 0.2660 0.6590
0.7980 0.2085 0.6605
0.8225 0.4740 0.6685
0.2355 0.4383 0.7102
0.5892 0.0093 0.7129
0.6015 0.6404 0.7195
0.5029 0.3603 0.8124
0.2524 0.6489 0.8522
0.3866 0.1912 0.8601
0.8212 0.2702 0.8634
0.3113 0.3624 0.9036
0.6796 0.9416 0.9136
0.6505 0.4249 0.9512
0.0577 0.1729 0.9514
0.8500 0.9366 0.1914
0.6336 0.1358 0.3442
0.9932 0.9124 0.3553
0.0652 0.1804 0.3743
0.3224 0.8432 0.4745
0.7900 0.0665 0.4761
0.2100 0.9335 0.5239
0.6776 0.1568 0.5255
0.9348 0.8196 0.6257
0.0068 0.0876 0.6447
0.3664 0.8642 0.6558
0.1500 0.0634 0.8086
0.0671 0.4037 0.1339
0.9329 0.5963 0.8661
```

=====

NpBr: optimized geometry, PBE.

Calculated values
- total moment (μB/f.u.) = 4.5

The structure in POSCAR format:
```
NpBr
1.0
-0.3423 -1.9818 -2.7966
0.5773 -1.4437 3.0738
-4.7361 -0.2629 0.7660
Br Np
1 1
Direct
0.6667 0.3333 0.7500
0.3333 0.6667 0.2500
```

=====

PrSmBr3: optimized geometry, PBE.

Calculated values
- total moment (μB/f.u.) = 0.0

The structure in POSCAR format:
```
PrSmBr3
1.0
8.2399 -2.0563 0.0000
8.2399 2.0563 0.0000
-5.2528 0.0000 9.6082
Br Pr Sm
6 2 2
Direct
0.2333 0.2333 0.1247
0.9566 0.9566 0.2743
0.3426 0.3426 0.4930
0.6574 0.6574 0.5070
0.0434 0.0434 0.7257
0.7667 0.7667 0.8753
0.4129 0.4129 0.0513
0.5871 0.5871 0.9487
0.1383 0.1383 0.2910
0.8617 0.8617 0.7090
```

=====

ZnCoIrAu: optimized geometry, PBE.

Calculated values
- total moment (μB/f.u.) = 2.0
- energy above the lowest structure with this stoichiometry (meV per atom) = 0
- formation energy (eV/f.u.) = 0.92

The structure in POSCAR format:
```
ZnCoIrAu
1.0
-2.1650 -2.5297 2.8019
-3.6481 1.4548 1.8739
-3.8479 -1.6939 -1.1232
Au Co Ir Zn
1 1 1 1
Direct
0.5000 0.5000 0.5000
0.7500 0.7500 0.7500
0.2500 0.2500 0.2500
0.0000 0.0000 0.0000
```

=====

Ho3ErN: optimized geometry, PBE.

Calculated values
- total moment (μB/f.u.) = 0.0

The structure in POSCAR format:
```
Ho3ErN
1.0
4.9096 0.0000 0.0000
0.0000 4.9096 0.0000
0.0000 0.0000 4.9096
Er Ho N
1 3 1
Direct
0.0000 0.0000 0.0000
0.5000 0.5000 0.0000
0.5000 0.0000 0.5000
0.0000 0.5000 0.5000
0.5000 0.5000 0.5000
```

=====

RbTcO4: optimized geometry, PBE.

Calculated values
- total moment (μB/f.u.) = 0.0

The structure in POSCAR format:
```
RbTcO4
1.0
1.9099 3.6805 3.5757
-3.3315 4.0446 -1.5881
-5.5615 -2.4318 5.4737
O Rb Tc
8 2 2
Direct
0.2242 0.7758 0.0787
0.3295 0.3235 0.2500
0.6765 0.6705 0.2500
0.2242 0.7758 0.4213
0.7758 0.2242 0.5787
0.3235 0.3295 0.7500
0.6705 0.6765 0.7500
0.7758 0.2242 0.9213
0.8646 0.1354 0.2500
0.1354 0.8646 0.7500
0.3639 0.6361 0.2500
0.6361 0.3639 0.7500
```

=====

ZrBeNi: optimized geometry, PBE.

Calculated values
- total moment (μB/f.u.) = 0.7
- energy above the lowest structure with this stoichiometry (meV per atom) = 0

The structure in POSCAR format:
```
ZrBeNi
1.0
0.0414 -3.6109 -1.8752
-3.4250 -2.1763 -0.2995
-1.8229 -0.4380 -3.6113
Be Ni Zr
1 1 1
Direct
0.2500 0.2500 0.2500
0.0000 0.0000 0.0000
0.7500 0.7500 0.7500
```

=====

Cu2Si3Sn2: optimized geometry, PBE.

The structure in POSCAR format:
```
Cu2Si3Sn2
1.0
2.2879 -6.8109 4.4007
-0.3249 -8.3013 1.4039
3.7470 -7.5312 0.4788
Cu Si Sn
2 3 2
Direct
0.2196 0.2196 0.2196
0.7762 0.7762 0.7762
0.3203 0.3203 0.3203
0.6246 0.6246 0.6246
0.8938 0.8938 0.8938
0.0529 0.0529 0.0529
0.4876 0.4876 0.4876
```

=====

Number 1: final energy -6.2438 eV/atom. Number 2: final energy -6.4943 eV/atom. Number 3: final energy -4.5399 eV/atom. Number 4: final energy -6.4117 eV/atom. Number 5: final energy -6.8416 eV/atom. Number 6: final energy -7.6540 eV/atom. Number 7: final energy -4.4150 eV/atom. Number 8: final energy -4.8943 eV/atom. Number 9: final energy -5.8604 eV/atom. Number 10: final energy -6.8600 eV/atom. Number 11: final energy -5.9392 eV/atom. Number 12: final energy -4.1917 eV/atom.